MnAuBr2: relaxed, PBE.

Geometry as POSCAR:
```
MnAuBr2
1.0
6.532 0.000 0.000
0.000 6.532 0.000
3.266 3.266 4.757
Au Br Mn
2 4 2
Cartesian
6.532 3.266 2.379
0.000 0.000 0.000
8.165 7.689 3.568
4.899 5.375 3.568
2.109 4.899 1.189
4.423 1.633 1.189
3.266 6.532 2.379
3.266 3.266 0.000
```

## Properties
ΔE to the lowest computed polymorph: 0.818 eV per atom
Uncorrected formation energy: 554 meV/atom



MnAu2Br8: relaxed, PBE.

Geometry as POSCAR:
```
MnAu2Br8
1.0
-0.972 -5.739 7.253
1.663 -1.398 -6.845
7.369 5.839 5.607
Br Mn Au
8 1 2
Cartesian
3.375 -1.126 5.523
2.666 -3.828 3.290
6.902 -0.937 3.959
1.158 -0.360 2.056
4.686 -0.172 0.492
0.543 -3.995 6.649
7.518 2.697 -0.635
5.395 2.530 2.725
0.000 0.000 0.000
3.287 1.518 1.641
4.773 -2.815 4.374
```

## Properties
Uncorrected formation energy: -227 meV/atom